(1)
VASP calculation (GGA-PBE) on crystalline SiGeSN2 at its relaxed geometry.

Density of states at the Fermi level: 2.96 states/eV/f.u.
Crystal system: tetragonal
Final energy: -5.694 eV per atom

a b c (Å): 3.5289 3.5289 5.2764
angles (deg): 90.00 90.00 90.00
Closest atoms and distances in Å follow each position.
Sites, in units of the cell vectors:
Ge 0.5000 0.5000 0.5000  4 S 2.50
Si 0.0000 0.0000 0.0000  4 N 1.76
S 0.0000 0.0000 0.5000  4 Ge 2.50, 2 Si 2.64
N 0.0000 0.5000 0.0000  2 Si 1.76
N 0.5000 0.0000 0.0000  2 Si 1.76

=====

(2)
VASP calculation (GGA-PBE) on crystalline SiGeSN2 at its relaxed geometry.

Density of states at the Fermi level: 3.81 states/eV/f.u.
Crystal system: tetragonal
Final energy: -4.993 eV per atom

a b c (Å): 3.6976 3.6976 5.2063
angles (deg): 90.00 90.00 90.00
Closest atoms and distances in Å follow each position.
Sites, in units of the cell vectors:
Ge 0.0000 0.0000 0.0000  4 N 1.85
Si 0.5000 0.5000 0.5000  4 S 2.61
S 0.0000 0.0000 0.5000  2 Ge 2.60, 4 Si 2.61
N 0.0000 0.5000 0.0000  2 Ge 1.85
N 0.5000 0.0000 0.0000  2 Ge 1.85

=====

(3)
VASP calculation (GGA-PBE) on crystalline SnGeS2N at its relaxed geometry.

Density of states at the Fermi level: 1.95 states/eV/f.u.
Crystal system: tetragonal
Final energy: -4.321 eV per atom

a b c (Å): 5.0859 5.0859 4.0104
angles (deg): 90.00 90.00 90.00
Closest atoms and distances in Å follow each position.
Sites, in units of the cell vectors:
S 0.0000 0.5000 0.0000  2 Sn 2.54
S 0.5000 0.0000 0.0000  2 Sn 2.54
Ge 0.5000 0.5000 0.5000  8 S 3.24, 4 N 3.60
Sn 0.0000 0.0000 0.0000  2 N 2.01
N 0.0000 0.0000 0.5000  2 Sn 2.01

=====

(4)
VASP calculation (GGA-PBE) on crystalline SnGeSN2 at its relaxed geometry.

Density of states at the Fermi level: 3.71 states/eV/f.u.
Crystal system: tetragonal
Final energy: -4.991 eV per atom

a b c (Å): 3.8978 3.8978 4.9938
angles (deg): 90.00 90.00 90.00
Closest atoms and distances in Å follow each position.
Sites, in units of the cell vectors:
S 0.0000 0.0000 0.5000  2 Ge 2.50, 4 Sn 2.76
Ge 0.0000 0.0000 0.0000  4 N 1.95
Sn 0.5000 0.5000 0.5000  4 S 2.76
N 0.0000 0.5000 0.0000  2 Ge 1.95
N 0.5000 0.0000 0.0000  2 Ge 1.95

=====

(5)
VASP calculation (GGA-PBE) on crystalline SnGeS2N at its relaxed geometry.

Density of states at the Fermi level: 1.78 states/eV/f.u.
Crystal system: tetragonal
Final energy: -4.638 eV per atom

a b c (Å): 4.9237 4.9237 3.7286
angles (deg): 90.00 90.00 90.00
Closest atoms and distances in Å follow each position.
Sites, in units of the cell vectors:
S 0.0000 0.5000 0.0000  2 Ge 2.46
S 0.5000 0.0000 0.0000  2 Ge 2.46
Ge 0.0000 0.0000 0.0000  2 N 1.86
Sn 0.5000 0.5000 0.5000  8 S 3.09
N 0.0000 0.0000 0.5000  2 Ge 1.86

=====

(6)
VASP calculation (GGA-PBE) on crystalline SnGeSN2 at its relaxed geometry.

Density of states at the Fermi level: 2.06 states/eV/f.u.
Crystal system: tetragonal
Final energy: -4.711 eV per atom

a b c (Å): 4.1298 4.1298 5.2730
angles (deg): 90.00 90.00 90.00
Closest atoms and distances in Å follow each position.
Sites, in units of the cell vectors:
S 0.0000 0.0000 0.5000  2 Sn 2.64, 4 Ge 2.92
Ge 0.5000 0.5000 0.5000  4 S 2.92
Sn 0.0000 0.0000 0.0000  4 N 2.06
N 0.0000 0.5000 0.0000  2 Sn 2.06
N 0.5000 0.0000 0.0000  2 Sn 2.06

=====

(7)
VASP calculation (GGA-PBE) on crystalline Sr6Ge2SN at its relaxed geometry.

Density of states at the Fermi level: 10.57 states/eV/f.u.
Crystal system: monoclinic
Final energy: -4.014 eV per atom

a b c (Å): 7.4142 7.7727 10.7015
angles (deg): 90.00 90.08 90.00
Closest atoms and distances in Å follow each position.
Sites, in units of the cell vectors:
Sr 0.2878 0.6842 0.0482  1 N 2.62
Sr 0.7877 0.8157 0.5482  1 N 2.62
Sr 0.7122 0.3158 0.9518  1 N 2.62
Sr 0.2123 0.1843 0.4518  1 N 2.62
Sr 0.3194 0.7143 0.4506  1 N 2.65, 1 S 2.94
Sr 0.8194 0.7857 0.9506  1 N 2.65, 1 S 2.94
Sr 0.6806 0.2857 0.5494  1 N 2.65, 1 S 2.94
Sr 0.1806 0.2143 0.0494  1 N 2.65, 1 S 2.94
Sr 0.9060 0.5309 0.2344  1 N 2.62
Sr 0.4060 0.9691 0.7344  1 N 2.62
Sr 0.0940 0.4691 0.7656  1 N 2.62
Sr 0.5940 0.0309 0.2656  1 N 2.62
Ge 0.0184 0.9371 0.2487  6 Sr 3.24-3.55
Ge 0.5184 0.5629 0.7487  6 Sr 3.24-3.55
Ge 0.9816 0.0629 0.7513  6 Sr 3.24-3.55
Ge 0.4816 0.4371 0.2513  6 Sr 3.24-3.55
S 0.5000 0.0000 0.0000  6 Sr 2.94-2.96
S 0.0000 0.5000 0.5000  6 Sr 2.94-2.96
N 0.5000 0.0000 0.5000  6 Sr 2.62-2.65
N 0.0000 0.5000 0.0000  6 Sr 2.62-2.65

=====

(8)
VASP calculation (GGA-PBE) on crystalline Ta2GeSN at its relaxed geometry.

Density of states at the Fermi level: 3.07 states/eV/f.u.
Crystal system: tetragonal
Final energy: -7.831 eV per atom

a b c (Å): 4.3320 4.0156 4.3320
angles (deg): 90.00 90.00 90.00
Closest atoms and distances in Å follow each position.
Sites, in units of the cell vectors:
Ge 0.0000 0.5000 0.0000  2 N 2.01
N 0.0000 0.0000 0.0000  2 Ge 2.01, 4 Ta 2.17
S 0.5000 0.5000 0.5000  8 Ta 2.95, 4 Ge 3.06
Ta 0.0000 0.0000 0.5000  2 N 2.17
Ta 0.5000 0.0000 0.0000  2 N 2.17

=====

(9)
VASP calculation (GGA-PBE) on crystalline GeTeSN2 at its relaxed geometry.

Density of states at the Fermi level: 1.31 states/eV/f.u.
Crystal system: tetragonal
Final energy: -4.552 eV per atom

a b c (Å): 3.8853 3.8853 4.8761
angles (deg): 90.00 90.00 90.00
Closest atoms and distances in Å follow each position.
Sites, in units of the cell vectors:
Ge 0.0000 0.0000 0.0000  4 N 1.94
Te 0.5000 0.5000 0.5000  4 S 2.75
S 0.0000 0.0000 0.5000  2 Ge 2.44
N 0.0000 0.5000 0.0000  2 Ge 1.94
N 0.5000 0.0000 0.0000  2 Ge 1.94

=====

(10)
VASP calculation (GGA-PBE) on crystalline GeTeSN2 at its relaxed geometry.

Density of states at the Fermi level: 2.25 states/eV/f.u.
Crystal system: tetragonal
Final energy: -4.453 eV per atom

a b c (Å): 3.9829 3.9829 5.3477
angles (deg): 90.00 90.00 90.00
Closest atoms and distances in Å follow each position.
Sites, in units of the cell vectors:
Ge 0.5000 0.5000 0.5000  4 S 2.82
Te 0.0000 0.0000 0.0000  4 N 1.99
S 0.0000 0.0000 0.5000  2 Te 2.67, 4 Ge 2.82
N 0.0000 0.5000 0.0000  2 Te 1.99
N 0.5000 0.0000 0.0000  2 Te 1.99

=====

(11)
VASP calculation (GGA-PBE) on crystalline GeTeSN2 at its relaxed geometry.

Density of states at the Fermi level: 2.35 states/eV/f.u.
Crystal system: tetragonal
Final energy: -4.516 eV per atom

a b c (Å): 3.7251 3.7251 7.0540
angles (deg): 90.00 90.00 90.00
Closest atoms and distances in Å follow each position.
Sites, in units of the cell vectors:
Ge 0.0000 0.0000 0.0000  4 N 1.86
Te 0.0000 0.0000 0.5000  4 S 2.63
S 0.5000 0.5000 0.5000  4 Te 2.63
N 0.0000 0.5000 0.0000  2 Ge 1.86
N 0.5000 0.0000 0.0000  2 Ge 1.86

=====

(12)
VASP calculation (GGA-PBE) on crystalline GeTeSN2 at its relaxed geometry.

Density of states at the Fermi level: 3.12 states/eV/f.u.
Crystal system: tetragonal
Final energy: -4.048 eV per atom

a b c (Å): 3.8411 3.8411 5.2611
angles (deg): 90.00 90.00 90.00
Closest atoms and distances in Å follow each position.
Sites, in units of the cell vectors:
Ge 0.5000 0.5000 0.5000  4 Te 2.72
Te 0.0000 0.0000 0.5000  2 S 2.63, 4 Ge 2.72
S 0.0000 0.0000 0.0000  4 N 1.92
N 0.0000 0.5000 0.0000  2 S 1.92
N 0.5000 0.0000 0.0000  2 S 1.92

=====

(13)
VASP calculation (GGA-PBE) on crystalline TlGeS2N at its relaxed geometry.

Density of states at the Fermi level: 1.54 states/eV/f.u.
Crystal system: tetragonal
Final energy: -3.496 eV per atom

a b c (Å): 5.2384 4.2365 5.2384
angles (deg): 90.00 90.00 90.00
Closest atoms and distances in Å follow each position.
Sites, in units of the cell vectors:
S 0.0000 0.0000 0.5000  2 Tl 2.62
S 0.5000 0.0000 0.0000  2 Tl 2.62
Tl 0.0000 0.0000 0.0000  2 N 2.12
Ge 0.5000 0.5000 0.5000  8 S 3.37, 4 N 3.70
N 0.0000 0.5000 0.0000  2 Tl 2.12

=====

(14)
VASP calculation (GGA-PBE) on crystalline TlGeS2N at its relaxed geometry.

Density of states at the Fermi level: 2.22 states/eV/f.u.
Crystal system: tetragonal
Final energy: -4.198 eV per atom

a b c (Å): 4.9816 4.9816 3.7342
angles (deg): 90.00 90.00 90.00
Closest atoms and distances in Å follow each position.
Sites, in units of the cell vectors:
S 0.0000 0.5000 0.0000  2 Ge 2.49
S 0.5000 0.0000 0.0000  2 Ge 2.49
Tl 0.5000 0.5000 0.5000  8 S 3.11
Ge 0.0000 0.0000 0.0000  2 N 1.87
N 0.0000 0.0000 0.5000  2 Ge 1.87

=====

(15)
VASP calculation (GGA-PBE) on crystalline VGeS2N at its relaxed geometry.

Density of states at the Fermi level: 5.34 states/eV/f.u.
Crystal system: tetragonal
Final energy: -5.222 eV per atom

a b c (Å): 4.8002 4.8002 3.5319
angles (deg): 90.00 90.00 90.00
Closest atoms and distances in Å follow each position.
Sites, in units of the cell vectors:
Ge 0.0000 0.0000 0.0000  2 N 1.77
N 0.0000 0.0000 0.5000  2 Ge 1.77
S 0.0000 0.5000 0.0000  2 Ge 2.40
S 0.5000 0.0000 0.0000  2 Ge 2.40
V 0.5000 0.5000 0.5000  8 S 2.98

=====

(16)
VASP calculation (GGA-PBE) on crystalline VGeS2N at its relaxed geometry.

Density of states at the Fermi level: 2.32 states/eV/f.u.
Crystal system: tetragonal
Final energy: -6.073 eV per atom

a b c (Å): 4.7677 4.7677 3.6262
angles (deg): 90.00 90.00 90.00
Closest atoms and distances in Å follow each position.
Sites, in units of the cell vectors:
Ge 0.5000 0.5000 0.5000  8 S 3.00
N 0.0000 0.0000 0.5000  2 V 1.81
S 0.0000 0.5000 0.0000  2 V 2.38
S 0.5000 0.0000 0.0000  2 V 2.38
V 0.0000 0.0000 0.0000  2 N 1.81

=====

(17)
VASP calculation (GGA-PBE) on crystalline GeWSN2 at its relaxed geometry.

Density of states at the Fermi level: 0.76 states/eV/f.u.
Crystal system: tetragonal
Final energy: -7.371 eV per atom

a b c (Å): 3.9280 3.9280 4.9740
angles (deg): 90.00 90.00 90.00
Closest atoms and distances in Å follow each position.
Sites, in units of the cell vectors:
Ge 0.5000 0.5000 0.5000  4 S 2.78
S 0.0000 0.0000 0.5000  2 W 2.49, 4 Ge 2.78
W 0.0000 0.0000 0.0000  4 N 1.96
N 0.0000 0.5000 0.0000  2 W 1.96
N 0.5000 0.0000 0.0000  2 W 1.96

=====

(18)
VASP calculation (GGA-PBE) on crystalline GeWS2N at its relaxed geometry.

Density of states at the Fermi level: 1.73 states/eV/f.u.
Crystal system: tetragonal
Final energy: -6.690 eV per atom

a b c (Å): 4.8387 4.8387 3.8175
angles (deg): 90.00 90.00 90.00
Closest atoms and distances in Å follow each position.
Sites, in units of the cell vectors:
Ge 0.5000 0.5000 0.5000  8 S 3.08, 4 N 3.42
S 0.0000 0.5000 0.0000  2 W 2.42
S 0.5000 0.0000 0.0000  2 W 2.42
W 0.0000 0.0000 0.0000  2 N 1.91
N 0.0000 0.0000 0.5000  2 W 1.91

=====

(19)
VASP calculation (GGA-PBE) on crystalline GeWS2N at its relaxed geometry.

Density of states at the Fermi level: 3.47 states/eV/f.u.
Crystal system: tetragonal
Final energy: -5.607 eV per atom

a b c (Å): 4.8380 4.8380 3.4233
angles (deg): 90.00 90.00 90.00
Closest atoms and distances in Å follow each position.
Sites, in units of the cell vectors:
Ge 0.0000 0.0000 0.0000  2 N 1.71
S 0.0000 0.5000 0.0000  2 Ge 2.42
S 0.5000 0.0000 0.0000  2 Ge 2.42
W 0.5000 0.5000 0.5000  8 S 2.96
N 0.0000 0.0000 0.5000  2 Ge 1.71

=====

(20)
VASP calculation (GGA-PBE) on crystalline GeWSN2 at its relaxed geometry.

Density of states at the Fermi level: 3.27 states/eV/f.u.
Crystal system: tetragonal
Final energy: -6.160 eV per atom

a b c (Å): 3.7761 3.7761 4.6297
angles (deg): 90.00 90.00 90.00
Closest atoms and distances in Å follow each position.
Sites, in units of the cell vectors:
Ge 0.0000 0.0000 0.0000  4 N 1.89
S 0.0000 0.0000 0.5000  2 Ge 2.31
W 0.5000 0.5000 0.5000  4 S 2.67, 8 N 2.99
N 0.0000 0.5000 0.0000  2 Ge 1.89
N 0.5000 0.0000 0.0000  2 Ge 1.89